DFT (PBE-GGA) results for a geometry-optimized LaTiH3 structure.

Computed properties:
Space-group type: Pm-3m, No. 221
N(E_F), states/eV per cell: 3.26
E above lowest polymorph, eV/f.u.: 0.000
M_tot, μB/cell: 1.9

Lattice parameters (Å, degrees): 3.8831 3.8831 3.8831 90.00 90.00 90.00
With the nearest neighbours (Å) after each atom.
Positions (direct):
H 0.0000 0.0000 0.5000  2 Ti 1.94
H 0.5000 0.0000 0.0000  2 Ti 1.94
H 0.0000 0.5000 0.0000  2 Ti 1.94
Ti 0.0000 0.0000 0.0000  6 H 1.94
La 0.5000 0.5000 0.5000  12 H 2.75

DFT (PBE-GGA) results for a geometry-optimized LaTiH3 structure.

Computed properties:
Space-group type: Pm-3m, No. 221
N(E_F), states/eV per cell: 3.53
E above lowest polymorph, eV/f.u.: 3.514
M_tot, μB/cell: 2.7

Lattice parameters (Å, degrees): 4.3360 4.3360 4.3360 90.00 90.00 90.00
With the nearest neighbours (Å) after each atom.
Positions (direct):
H 0.0000 0.5000 0.0000  2 La 2.17
H 0.0000 0.0000 0.5000  2 La 2.17
La 0.0000 0.0000 0.0000  6 H 2.17
Ti 0.5000 0.5000 0.5000  12 H 3.07
H 0.5000 0.0000 0.0000  2 La 2.17

DFT (PBE-GGA) results for a geometry-optimized LaTi2H structure.

Computed properties:
Space-group type: Fm-3m, No. 225
N(E_F), states/eV per cell: 6.30
E above lowest polymorph, eV/f.u.: 3.993
M_tot, μB/cell: 0.0

Lattice parameters (Å, degrees): 4.5788 4.5788 4.5788 60.00 60.00 60.00
With the nearest neighbours (Å) after each atom.
Positions (direct):
Ti 0.2500 0.2500 0.2500  4 H 2.80, 4 La 2.80
Ti 0.7500 0.7500 0.7500  4 H 2.80, 4 La 2.80
La 0.5000 0.5000 0.5000  8 Ti 2.80
H 0.0000 0.0000 0.0000  8 Ti 2.80

DFT (PBE-GGA) results for a geometry-optimized LaTi3H structure.

Computed properties:
Space-group type: Pm-3m, No. 221
N(E_F), states/eV per cell: 8.24
E above lowest polymorph, eV/f.u.: 8.904
M_tot, μB/cell: 0.7

Lattice parameters (Å, degrees): 4.8161 4.8161 4.8161 90.00 90.00 90.00
With the nearest neighbours (Å) after each atom.
Positions (direct):
Ti 0.0000 0.0000 0.5000  2 La 2.41
La 0.0000 0.0000 0.0000  6 Ti 2.41
Ti 0.0000 0.5000 0.0000  2 La 2.41
Ti 0.5000 0.0000 0.0000  2 La 2.41
H 0.5000 0.5000 0.5000  12 Ti 3.41

DFT (PBE-GGA) results for a geometry-optimized LaTi2H structure.

Computed properties:
Space-group type: I4_1/amd, No. 141
N(E_F), states/eV per cell: 10.98
E above lowest polymorph, eV/f.u.: 0.000
M_tot, μB/cell: 4.0

Lattice parameters (Å, degrees): 5.9731 5.9731 5.9812 60.04 60.04 90.00
With the nearest neighbours (Å) after each atom.
Positions (direct):
Ti 0.3749 0.1250 0.2500  2 H 1.83
Ti 0.3751 0.6250 0.2500  2 H 1.83
Ti 0.3750 0.6251 0.7500  2 H 1.83
H 0.2500 0.7500 0.5000  4 Ti 1.83
H 0.5000 0.5000 0.0000  4 Ti 1.83
La 0.7500 0.2500 0.5000  12 Ti 3.50-3.51, 4 La 3.66, 4 H 3.66
La 0.0000 0.0000 0.0000  12 Ti 3.50-3.51, 4 La 3.66, 4 H 3.66
Ti 0.8750 0.6249 0.7500  2 H 1.83

DFT (PBE-GGA) results for a geometry-optimized LaTiH2 structure.

Computed properties:
Space-group type: Fm-3m, No. 225
N(E_F), states/eV per cell: 3.09
E above lowest polymorph, eV/f.u.: 1.741
M_tot, μB/cell: 2.0

Lattice parameters (Å, degrees): 4.2903 4.2903 4.2903 60.00 60.00 60.00
With the nearest neighbours (Å) after each atom.
Positions (direct):
H 0.7500 0.7500 0.7500  4 Ti 2.63, 4 La 2.63
La 0.5000 0.5000 0.5000  8 H 2.63
Ti 0.0000 0.0000 0.0000  8 H 2.63
H 0.2500 0.2500 0.2500  4 La 2.63, 4 Ti 2.63

DFT (PBE-GGA) results for a geometry-optimized LaTi2H8 structure.

Computed properties:
Space-group type: C2/m, No. 12
N(E_F), states/eV per cell: 3.87
DFT total energy, eV per atom: -4.716
M_tot, μB/cell: 0.0

Lattice parameters (Å, degrees): 3.6662 5.2668 5.2668 113.82 92.37 92.37
With the nearest neighbours (Å) after each atom.
Positions (direct):
La 0.5000 0.0000 0.0000  12 H 2.38-2.46
Ti 0.0000 0.6685 0.3315  8 H 1.83-1.92
H 0.0239 0.0288 0.3188  2 Ti 1.90-1.92, 2 H 1.99-2.06
H 0.0239 0.3188 0.0288  2 Ti 1.90-1.92, 2 H 1.99-2.06
H 0.7348 0.4089 0.4089  2 Ti 1.83
H 0.5000 0.7308 0.2692  2 Ti 1.91
H 0.9761 0.6812 0.9712  2 Ti 1.90-1.92, 2 H 1.99-2.06
H 0.2652 0.5911 0.5911  2 Ti 1.83
H 0.9761 0.9712 0.6812  2 Ti 1.90-1.92, 2 H 1.99-2.06
Ti 0.0000 0.3315 0.6685  8 H 1.83-1.92
H 0.5000 0.2692 0.7308  2 Ti 1.91

DFT (PBE-GGA) results for a geometry-optimized LaTiTlH2 structure.

Computed properties:
Space-group type: P4/mmm, No. 123
N(E_F), states/eV per cell: 4.99
DFT total energy, eV per atom: -3.650
M_tot, μB/cell: 1.0

Lattice parameters (Å, degrees): 4.1977 5.6132 4.1977 90.00 90.00 90.00
With the nearest neighbours (Å) after each atom.
Positions (direct):
Tl 0.0000 0.0000 0.0000  4 H 2.10
Ti 0.0000 0.5000 0.0000  2 Tl 2.81, 4 La 2.97
H 0.5000 0.0000 0.0000  2 Tl 2.10
La 0.5000 0.5000 0.5000  4 Ti 2.97
H 0.0000 0.0000 0.5000  2 Tl 2.10

DFT (PBE-GGA) results for a geometry-optimized La2TiTlH structure.

Computed properties:
Space-group type: P4/mmm, No. 123
N(E_F), states/eV per cell: 8.55
E above lowest polymorph, eV/f.u.: 4.473
M_tot, μB/cell: 0.0

Lattice parameters (Å, degrees): 6.1872 3.7217 6.1872 90.00 90.00 90.00
With the nearest neighbours (Å) after each atom.
Positions (direct):
La 0.0000 0.0000 0.5000  2 Tl 3.09
Ti 0.5000 0.5000 0.5000  8 La 3.61, 2 Ti 3.72
H 0.0000 0.5000 0.0000  2 Tl 1.86
La 0.5000 0.0000 0.0000  2 Tl 3.09
Tl 0.0000 0.0000 0.0000  2 H 1.86

DFT (PBE-GGA) results for a geometry-optimized La2TiTlH structure.

Computed properties:
Space-group type: P4/mmm, No. 123
N(E_F), states/eV per cell: 5.94
E above lowest polymorph, eV/f.u.: 0.000
M_tot, μB/cell: 3.4

Lattice parameters (Å, degrees): 5.3746 5.3746 4.1428 90.00 90.00 90.00
With the nearest neighbours (Å) after each atom.
Positions (direct):
La 0.0000 0.5000 0.0000  2 H 2.69
Tl 0.5000 0.5000 0.5000  8 La 3.39
Ti 0.0000 0.0000 0.5000  2 H 2.07
H 0.0000 0.0000 0.0000  2 Ti 2.07
La 0.5000 0.0000 0.0000  2 H 2.69

DFT (PBE-GGA) results for a geometry-optimized La2YTiH structure.

Computed properties:
Space-group type: P4/mmm, No. 123
N(E_F), states/eV per cell: 6.17
DFT total energy, eV per atom: -5.492
M_tot, μB/cell: 1.5

Lattice parameters (Å, degrees): 5.3078 5.3078 4.3573 90.00 90.00 90.00
With the nearest neighbours (Å) after each atom.
Positions (direct):
H 0.0000 0.0000 0.0000  2 Ti 2.18
La 0.5000 0.0000 0.0000  2 H 2.65
La 0.0000 0.5000 0.0000  2 H 2.65
Y 0.5000 0.5000 0.5000  8 La 3.43, 4 Ti 3.75
Ti 0.0000 0.0000 0.5000  2 H 2.18

DFT (PBE-GGA) results for a geometry-optimized LaTiZnH2 structure.

Computed properties:
Space-group type: P4/mmm, No. 123
N(E_F), states/eV per cell: 6.36
DFT total energy, eV per atom: -3.586
M_tot, μB/cell: 0.0

Lattice parameters (Å, degrees): 4.1703 4.1703 6.1316 90.00 90.00 90.00
With the nearest neighbours (Å) after each atom.
Positions (direct):
H 0.5000 0.0000 0.0000  2 La 2.09
La 0.0000 0.0000 0.0000  4 H 2.09
Ti 0.0000 0.0000 0.5000  4 Zn 2.95, 2 La 3.07
H 0.0000 0.5000 0.0000  2 La 2.09
Zn 0.5000 0.5000 0.5000  4 Ti 2.95